No. 1
DFT (meta-GGA SCAN) results for a crystal of Rb6Ti2O7 relaxed with PBEsol.

Geometry as POSCAR:
```
Rb6Ti2O7
1.0
6.796 0.000 0.000
0.000 9.556 0.000
-6.432 0.000 9.655
Rb Ti O
12 4 14
direct
0.048 0.152 0.427
0.048 0.348 0.927
0.204 0.526 0.452
0.204 0.974 0.952
0.406 0.209 0.281
0.406 0.291 0.781
0.594 0.709 0.219
0.594 0.791 0.719
0.796 0.026 0.048
0.796 0.474 0.548
0.952 0.652 0.073
0.952 0.848 0.573
0.315 0.641 0.869
0.315 0.859 0.369
0.685 0.141 0.631
0.685 0.359 0.131
0.049 0.670 0.866
0.049 0.830 0.366
0.246 0.593 0.700
0.246 0.907 0.200
0.500 0.000 0.500
0.500 0.205 0.072
0.500 0.295 0.572
0.500 0.500 0.000
0.500 0.705 0.428
0.500 0.795 0.928
0.754 0.093 0.800
0.754 0.407 0.300
0.951 0.170 0.634
0.951 0.330 0.134
```

Formation energy (no corrections), eV per atom: -2.41
DOS at the Fermi energy, states/eV per cell: 0.00
ΔE to the lowest computed polymorph, eV/atom: 0.0000
Raw total energy, eV/atom: -15.748



No. 2
DFT (meta-GGA SCAN) results for a crystal of Th2Al relaxed with PBEsol.

Geometry as POSCAR:
```
Th2Al
1.0
7.613 0.000 0.000
0.000 7.613 0.000
0.000 0.000 5.617
Th Al
8 4
direct
0.158 0.342 0.000
0.158 0.658 0.500
0.342 0.158 0.500
0.342 0.842 0.000
0.658 0.158 0.000
0.658 0.842 0.500
0.842 0.342 0.500
0.842 0.658 0.000
0.000 0.000 0.250
0.000 0.000 0.750
0.500 0.500 0.250
0.500 0.500 0.750
```

Energy of formation from the pure elements, eV/atom: -0.22
DOS at the Fermi energy, states/eV per cell: 10.81
Raw total energy, eV/atom: -66.752



No. 3
DFT (meta-GGA SCAN) results for a crystal of ScAgTe2 relaxed with PBEsol.

Geometry as POSCAR:
```
ScAgTe2
1.0
3.961 0.000 0.000
0.000 3.961 0.000
0.000 0.000 6.200
Sc Ag Te
1 1 2
direct
0.000 0.000 0.000
0.500 0.500 0.686
0.000 0.000 0.553
0.500 0.500 0.131
```

Formation energy (no corrections), eV per atom: -0.76
DOS at the Fermi energy, states/eV per cell: 0.75
Raw total energy, eV/atom: -30.783



No. 4
DFT (meta-GGA SCAN) results for a crystal of TaCd2Sb relaxed with PBEsol.

Geometry as POSCAR:
```
TaCd2Sb
1.0
3.170 0.000 0.000
-1.585 2.745 0.000
0.000 0.000 28.754
Ta Cd Sb
3 6 3
direct
0.000 0.000 0.000
0.333 0.667 0.667
0.667 0.333 0.333
0.000 0.000 0.496
0.000 0.000 0.748
0.333 0.667 0.163
0.333 0.667 0.415
0.667 0.333 0.081
0.667 0.333 0.829
0.000 0.000 0.256
0.333 0.667 0.922
0.667 0.333 0.589
```

Formation energy (no corrections), eV per atom: 0.25
DOS at the Fermi energy, states/eV per cell: 8.69
Raw total energy, eV/atom: -40.916



No. 5
DFT (meta-GGA SCAN) results for a crystal of Ba3FeS4Br relaxed with PBEsol.

Geometry as POSCAR:
```
Ba3FeS4Br
1.0
12.259 0.000 0.000
0.000 9.541 0.000
0.000 0.000 8.398
Ba Fe S Br
12 4 16 4
direct
0.023 0.250 0.082
0.164 0.021 0.588
0.164 0.479 0.588
0.336 0.521 0.088
0.336 0.979 0.088
0.477 0.750 0.582
0.523 0.250 0.418
0.664 0.021 0.912
0.664 0.479 0.912
0.836 0.521 0.412
0.836 0.979 0.412
0.977 0.750 0.918
0.105 0.750 0.313
0.395 0.250 0.813
0.605 0.750 0.187
0.895 0.250 0.687
0.008 0.750 0.538
0.071 0.550 0.190
0.071 0.950 0.190
0.217 0.250 0.863
0.283 0.750 0.363
0.429 0.050 0.690
0.429 0.450 0.690
0.492 0.250 0.038
0.508 0.750 0.962
0.571 0.550 0.310
0.571 0.950 0.310
0.717 0.250 0.637
0.783 0.750 0.137
0.929 0.050 0.810
0.929 0.450 0.810
0.992 0.250 0.462
0.234 0.750 0.827
0.266 0.250 0.327
0.734 0.750 0.673
0.766 0.250 0.173
```

Formation energy (no corrections), eV per atom: -1.96
Raw total energy, eV/atom: -23.594



No. 6
DFT (meta-GGA SCAN) results for a crystal of YReIO2 relaxed with PBEsol.

Geometry as POSCAR:
```
YReIO2
1.0
4.216 0.000 0.000
0.000 4.216 0.000
0.000 0.000 6.168
Y Re I O
1 1 1 2
direct
0.000 0.000 0.000
0.500 0.500 0.500
0.000 0.000 0.500
0.000 0.500 0.000
0.500 0.000 0.000
```

Formation energy (no corrections), eV per atom: -0.29
DOS at the Fermi energy, states/eV per cell: 3.39
Raw total energy, eV/atom: -29.914



No. 7
DFT (meta-GGA SCAN) results for a crystal of NiAg2Pt relaxed with PBEsol.

Geometry as POSCAR:
```
NiAg2Pt
1.0
2.758 0.000 0.000
0.000 2.758 0.000
0.000 0.000 7.685
Ni Ag Pt
1 2 1
direct
0.000 0.000 0.000
0.000 0.000 0.485
0.500 0.500 0.762
0.500 0.500 0.214
```

Energy of formation from the pure elements, eV/atom: 0.04
DOS at the Fermi energy, states/eV per cell: 2.26
Raw total energy, eV/atom: -37.237



No. 8
DFT (meta-GGA SCAN) results for a crystal of Rb2HRu relaxed with PBEsol.

Geometry as POSCAR:
```
Rb2HRu
1.0
7.751 0.000 0.000
0.000 7.751 0.000
0.000 0.000 7.751
Rb H Ru
8 4 4
direct
0.250 0.250 0.250
0.250 0.250 0.750
0.250 0.750 0.250
0.250 0.750 0.750
0.750 0.250 0.250
0.750 0.250 0.750
0.750 0.750 0.250
0.750 0.750 0.750
0.000 0.000 0.000
0.000 0.500 0.500
0.500 0.000 0.500
0.500 0.500 0.000
0.000 0.000 0.500
0.000 0.500 0.000
0.500 0.000 0.000
0.500 0.500 0.500
```

DOS at the Fermi energy, states/eV per cell: 8.91
Raw total energy, eV/atom: -18.718



No. 9
DFT (meta-GGA SCAN) results for a crystal of MoN2Cl relaxed with PBEsol.

Geometry as POSCAR:
```
MoN2Cl
1.0
2.993 0.000 0.000
-1.496 2.592 0.000
0.000 0.000 18.506
Mo N Cl
3 6 3
direct
0.000 0.000 0.000
0.333 0.667 0.667
0.667 0.333 0.333
0.000 0.000 0.395
0.000 0.000 0.605
0.333 0.667 0.061
0.333 0.667 0.272
0.667 0.333 0.728
0.667 0.333 0.939
0.000 0.000 0.500
0.333 0.667 0.167
0.667 0.333 0.833
```

Formation energy (no corrections), eV per atom: 0.27
DOS at the Fermi energy, states/eV per cell: 4.61
ΔE to the lowest computed polymorph, eV/atom: 0.1745
Raw total energy, eV/atom: -15.089



No. 10
DFT (meta-GGA SCAN) results for a crystal of Ca4Cd relaxed with PBEsol.

Geometry as POSCAR:
```
Ca4Cd
1.0
9.561 0.000 0.000
0.000 9.561 0.000
0.000 0.000 3.825
Ca Cd
8 2
direct
0.073 0.734 0.000
0.234 0.427 0.500
0.266 0.073 0.000
0.427 0.766 0.500
0.573 0.234 0.500
0.734 0.927 0.000
0.766 0.573 0.500
0.927 0.266 0.000
0.000 0.000 0.500
0.500 0.500 0.000
```

Energy of formation from the pure elements, eV/atom: -0.16
DOS at the Fermi energy, states/eV per cell: 9.16
Raw total energy, eV/atom: -13.976



No. 11
DFT (meta-GGA SCAN) results for a crystal of BeMo2W relaxed with PBEsol.

Geometry as POSCAR:
```
BeMo2W
1.0
3.163 0.000 0.000
0.000 3.163 0.000
0.000 0.000 5.560
Be Mo W
1 2 1
direct
0.000 0.000 0.000
0.500 0.500 0.223
0.500 0.500 0.777
0.000 0.000 0.500
```

Energy of formation from the pure elements, eV/atom: 0.10
DOS at the Fermi energy, states/eV per cell: 3.58
Raw total energy, eV/atom: -35.851



No. 12
DFT (meta-GGA SCAN) results for a crystal of SnPO3F relaxed with PBEsol.

Geometry as POSCAR:
```
SnPO3F
1.0
4.688 0.000 0.000
0.000 12.590 0.000
-1.002 0.000 6.128
Sn P O F
4 4 12 4
direct
0.042 0.129 0.284
0.042 0.371 0.784
0.958 0.629 0.216
0.958 0.871 0.716
0.384 0.647 0.829
0.384 0.853 0.329
0.616 0.147 0.671
0.616 0.353 0.171
0.192 0.725 0.686
0.192 0.775 0.186
0.228 0.577 0.974
0.228 0.923 0.474
0.333 0.196 0.557
0.333 0.304 0.057
0.667 0.696 0.943
0.667 0.804 0.443
0.772 0.077 0.526
0.772 0.423 0.026
0.808 0.225 0.814
0.808 0.275 0.314
0.478 0.567 0.657
0.478 0.933 0.157
0.522 0.067 0.843
0.522 0.433 0.343
```

Formation energy (no corrections), eV per atom: -2.24
DOS at the Fermi energy, states/eV per cell: 0.00
Raw total energy, eV/atom: -13.669